No. 1
This record from the Alexandria database describes crystalline K3HgI2O9 at its relaxed geometry. The functional is GGA-PBE.

The space group is P-3m1 (No. 164) and the conventional cell measures 5.8873, 5.8873 and 7.3604 Å, with angles of 90.00, 90.00 and 120.00 degrees. Symmetry generates all atoms from K at (0.0000, 0.0000, 0.0000), K at (0.3333, 0.6667, 0.6688), Hg at (0.0000, 0.0000, 0.5000), I at (0.3333, 0.6667, 0.1685), O at (0.0000, 0.5000, 0.0000) and O at (0.1784, 0.3567, 0.3041).

The calculation puts the density of states at the Fermi level at 0.31 states/eV/atom. For the size of the total moment, the calculation gives 0.000 μB/f.u. Its formation energy without anion corrections is -71.3 kJ per mole of atoms.

***

No. 2
This record from the Alexandria database describes crystalline KHgI2O at its relaxed geometry. The functional is GGA-PBE.

The space group is P4/mmm (No. 123) and the conventional cell measures 6.708, 6.708 and 5.168 Å, with angles of 90.00, 90.00 and 90.00 degrees. Symmetry generates all atoms from K at (0.000, 0.000, 0.000), Hg at (0.500, 0.500, 0.500), I at (0.000, 0.500, 0.000) and O at (0.000, 0.000, 0.500).

The calculation puts the density of states at the Fermi level at 1.75 states/eV/atom. For the energy above the most stable polymorph in this dataset, the calculation gives 596 meV/atom. For the size of the total moment, the calculation gives 2.646 μB/f.u. Its formation energy without anion corrections is 15.0 kJ per mole of atoms.

***

No. 3
This record from the Alexandria database describes crystalline KHg2IO at its relaxed geometry. The functional is GGA-PBE.

The space group is P4/mmm (No. 123) and the conventional cell measures 6.999, 6.999 and 6.679 Å, with angles of 90.00, 90.00 and 90.00 degrees. Symmetry generates all atoms from K at (0.000, 0.000, 0.000), Hg at (0.000, 0.500, 0.500), I at (0.000, 0.000, 0.500) and O at (0.500, 0.500, 0.000).

The calculation puts the density of states at the Fermi level at 4.99 states/eV/atom. For the size of the total moment, the calculation gives 1.772 μB/f.u. Its formation energy without anion corrections is 17.6 kJ per mole of atoms.

***

No. 4
This record from the Alexandria database describes crystalline K5HgIO2 at its relaxed geometry. The functional is GGA-PBE.

The space group is P4/mmm (No. 123) and the conventional cell measures 5.293, 5.293 and 10.999 Å, with angles of 90.00, 90.00 and 90.00 degrees. Symmetry generates all atoms from K at (0.000, 0.000, 0.000), K at (0.000, 0.500, 0.258), Hg at (0.000, 0.000, 0.500), I at (0.500, 0.500, 0.000) and O at (0.000, 0.000, 0.240).

The calculation puts the density of states at the Fermi level at 0.30 states/eV/atom. For the size of the total moment, the calculation gives 0.000 μB/f.u. Its formation energy without anion corrections is -91.5 kJ per mole of atoms.

***

No. 5
This record from the Alexandria database describes crystalline KHgI2O at its relaxed geometry. The functional is GGA-PBE.

The space group is P4/mmm (No. 123) and the conventional cell measures 6.188, 6.188 and 4.238 Å, with angles of 90.00, 90.00 and 90.00 degrees. Symmetry generates all atoms from K at (0.000, 0.000, 0.000), Hg at (0.500, 0.500, 0.500), I at (0.000, 0.500, 0.500) and O at (0.500, 0.500, 0.000).

The calculation puts the density of states at the Fermi level at 1.34 states/eV/atom. For the energy above the most stable polymorph in this dataset, the calculation gives 0 meV/atom. For the size of the total moment, the calculation gives 0.577 μB/f.u. Its formation energy without anion corrections is -42.5 kJ per mole of atoms.

***

No. 6
This record from the Alexandria database describes crystalline KPaHgI6 at its relaxed geometry. The functional is GGA-PBE.

The space group is P-31c (No. 163) and the conventional cell measures 8.6627, 8.6627 and 16.2311 Å, with angles of 90.00, 90.00 and 120.00 degrees. Symmetry generates all atoms from K at (0.3333, 0.6667, 0.2500), Pa at (0.3333, 0.6667, 0.7500), Hg at (0.0000, 0.0000, 0.0000) and I at (0.0549, 0.3905, 0.6434).

For the size of the total moment, the calculation gives 0.000 μB/f.u. Its formation energy without anion corrections is -92.0 kJ per mole of atoms.

***

No. 7
This record from the Alexandria database describes crystalline K2PaHgI8 at its relaxed geometry. The functional is GGA-PBE.

The space group is P-1 (No. 2) and the conventional cell measures 6.834, 8.247 and 11.700 Å, with angles of 89.95, 89.83 and 86.10 degrees. Symmetry generates all atoms from K at (0.001, 0.499, 0.248), Pa at (0.500, 0.000, 0.000), Hg at (0.500, 0.000, 0.500), I at (0.246, 0.310, 0.999), I at (0.256, 0.499, 0.500), I at (0.264, 0.865, 0.182) and I at (0.266, 0.864, 0.819).

The calculation puts the density of states at the Fermi level at 0.07 states/eV/atom. For the size of the total moment, the calculation gives 0.085 μB/f.u. Its formation energy without anion corrections is -88.6 kJ per mole of atoms.

***

No. 8
This record from the Alexandria database describes crystalline K2PaHgI6 at its relaxed geometry. The functional is GGA-PBE.

The space group is R3 (No. 146, hexagonal axes) and the conventional cell measures 8.7403, 8.7403 and 24.4309 Å, with angles of 90.00, 90.00 and 120.00 degrees. Symmetry generates all atoms from K at (0.0000, 0.0000, 0.0000), K at (0.0000, 0.0000, 0.4761), Pa at (0.0000, 0.0000, 0.6600), Hg at (0.0000, 0.0000, 0.1647), I at (0.0251, 0.7320, 0.5864) and I at (0.0562, 0.3739, 0.3987).

The calculation puts the density of states at the Fermi level at 0.07 states/eV/atom. For the size of the total moment, the calculation gives 1.006 μB/f.u. Its formation energy without anion corrections is -103.6 kJ per mole of atoms.

***

No. 9
This record from the Alexandria database describes crystalline KHgPbI5 at its relaxed geometry. The functional is GGA-PBE.

The space group is C2/c (No. 15) and the conventional cell measures 10.533, 13.815 and 11.619 Å, with angles of 90.00, 114.10 and 90.00 degrees. Symmetry generates all atoms from K at (0.000, 0.151, 0.250), Hg at (0.000, 0.179, 0.750), Pb at (0.000, 0.500, 0.000), I at (0.000, 0.406, 0.250), I at (0.129, 0.288, 0.619) and I at (0.177, 0.054, 0.949).

The calculation puts the density of states at the Fermi level at 0.00 states/eV/atom. For the size of the total moment, the calculation gives 0.000 μB/f.u. Its formation energy without anion corrections is -68.2 kJ per mole of atoms.

***

No. 10
This record from the Alexandria database describes crystalline K2HgPbI6 at its relaxed geometry. The functional is GGA-PBE.

The space group is P1 (No. 1) and the conventional cell measures 8.278, 8.628 and 8.665 Å, with angles of 100.24, 116.75 and 108.80 degrees. Symmetry generates all atoms from K at (0.000, 0.000, 0.000), K at (0.059, 0.546, 0.509), Hg at (0.491, 0.295, 0.795), Pb at (0.594, 0.883, 0.320), I at (0.093, 0.148, 0.458), I at (0.150, 0.695, 0.189), I at (0.508, 0.170, 0.083), I at (0.538, 0.653, 0.934), I at (0.722, 0.671, 0.552) and I at (0.755, 0.221, 0.701).

The calculation puts the density of states at the Fermi level at 0.00 states/eV/atom. For the size of the total moment, the calculation gives 0.000 μB/f.u. Its formation energy without anion corrections is -81.3 kJ per mole of atoms.

***

No. 11
This record from the Alexandria database describes crystalline K2HgPdI6 at its relaxed geometry. The functional is GGA-PBE.

The space group is P1 (No. 1) and the conventional cell measures 7.485, 7.568 and 9.033 Å, with angles of 70.67, 70.11 and 65.33 degrees. Symmetry generates all atoms from K at (0.000, 0.000, 0.000), K at (0.405, 0.388, 0.630), Hg at (0.201, 0.196, 0.315), Pd at (0.702, 0.695, 0.815), I at (0.413, 0.863, 0.653), I at (0.434, 0.421, 0.203), I at (0.526, 0.986, 0.975), I at (0.878, 0.404, 0.656), I at (0.968, 0.969, 0.428) and I at (0.990, 0.527, 0.978).

For the size of the total moment, the calculation gives 0.000 μB/f.u. Its formation energy without anion corrections is -69.6 kJ per mole of atoms.